(1)
{
  "formula": "Sr2PmSb3Pd4",
  "functional": "GGA-PBE",
  "state": "relaxed",
  "e_form_raw_ev_per_atom": -0.85,
  "cell": [[4.609, 0.000, 0.000], [0.000, 4.609, 0.000], [0.000, 0.000, 11.666]],
  "species": ["Sr", "Sr", "Pm", "Sb", "Sb", "Sb", "Pd", "Pd", "Pd", "Pd"],
  "fractional_positions": [[0.000, 0.500, 0.221], [0.500, 0.000, 0.779], [0.000, 0.000, 0.500], [0.000, 0.500, 0.875], [0.500, 0.000, 0.125], [0.500, 0.500, 0.500], [0.000, 0.000, 0.000], [0.000, 0.500, 0.649], [0.500, 0.000, 0.351], [0.500, 0.500, 0.000]]
}

(2)
{
  "formula": "Cd2CuCl",
  "functional": "GGA-PBE",
  "state": "relaxed",
  "polymorph_energy_mev_per_atom": 419,
  "e_form_raw_ev_per_atom": 0.23,
  "cell": [[0.000, 3.524, 3.524], [3.524, 0.000, 3.524], [3.524, 3.524, 0.000]],
  "species": ["Cd", "Cd", "Cu", "Cl"],
  "fractional_positions": [[0.250, 0.250, 0.250], [0.750, 0.750, 0.750], [0.000, 0.000, 0.000], [0.500, 0.500, 0.500]]
}

(3)
{
  "formula": "ScFeGeH2",
  "functional": "GGA-PBE",
  "state": "relaxed",
  "cell": [[3.678, 0.000, 0.000], [0.000, 3.678, 0.000], [0.000, 0.000, 4.620]],
  "species": ["Sc", "Fe", "Ge", "H", "H"],
  "fractional_positions": [[0.000, 0.000, 0.000], [0.500, 0.500, 0.500], [0.500, 0.500, 0.000], [0.000, 0.500, 0.500], [0.500, 0.000, 0.500]]
}

Number 1: calculated total energy -49.7 eV/cell. Number 2: calculated total energy -6.8 eV/cell. Number 3: calculated total energy -25.7 eV/cell.